(1)
! Re2AsS | Alexandria via LeMat-Bulk | PBE | optimized geometry; values from VASP
&SYSTEM
  ibrav = 0, nat = 4, ntyp = 3
/
ATOMIC_SPECIES
Re 186.21 Re.upf
As 74.92 As.upf
S 32.06 S.upf
ATOMIC_POSITIONS crystal
Re 0.250 0.250 0.250
Re 0.750 0.750 0.750
As 0.500 0.500 0.500
S 0.000 0.000 0.000
CELL_PARAMETERS angstrom
1.699 0.259 3.946
-2.072 2.152 3.098
-1.809 -2.140 3.266
! Formation energy from raw total energies: 0.415 eV per atom
! Excess energy over the best structure of this formula in the dataset: 0.000 eV/atom
! Mass density: 14.1 g cm⁻³
! Total magnetization: 0.0 μB per formula unit
! SG: Fm-3m (225)

***

(2)
! YBeMo3 | Alexandria via LeMat-Bulk | PBE | optimized geometry; values from VASP
&SYSTEM
  ibrav = 0, nat = 5, ntyp = 3
/
ATOMIC_SPECIES
Y 88.91 Y.upf
Be 9.01 Be.upf
Mo 95.94 Mo.upf
ATOMIC_POSITIONS crystal
Y 0.500 0.500 0.500
Be 0.000 0.000 0.000
Mo 0.000 0.500 0.000
Mo 0.000 0.000 0.500
Mo 0.500 0.000 0.000
CELL_PARAMETERS angstrom
-1.311 -4.147 -0.865
2.953 -0.245 -3.300
3.038 -1.551 2.834
! Formation enthalpy at 0 K: 680 meV/atom
! Excess energy over the best structure of this formula in the dataset: 0.000 eV/atom
! Mass density: 7.3 g cm⁻³
! Total magnetization: 0.0 μB per formula unit
! SG: Pm-3m (221)